*w*
Density functional theory data (PBE) for crystalline Li2CrCl at its relaxed geometry.

Cell and atoms, written as POSCAR:
```
Li2CrCl
1.0
-2.2491 -3.8569 -6.7218
2.2620 -3.4997 -6.9103
0.1339 1.6893 7.8895
Li Cr Cl
2 1 1
Direct
0.6727 0.1727 0.5000
0.9777 0.9777 0.0000
0.3038 0.8038 0.5000
0.5457 0.5457 0.0000
```

* magnetic moment: 4.89 μB per formula unit

***

*x*
Density functional theory data (PBE) for crystalline Li2CrCl at its relaxed geometry.

Cell and atoms, written as POSCAR:
```
Li2CrCl
1.0
6.6485 0.0564 0.0000
4.5537 4.8446 0.0000
-5.6011 -2.4505 2.6132
Cr Li Cl
1 2 1
Direct
0.7500 0.2500 0.5000
0.0000 0.0000 0.0000
0.2500 0.7500 0.5000
0.5000 0.5000 0.0000
```

* magnetic moment: 5.21 μB per formula unit

***

The relative energies come out as *w* 0; *x* 208, with values in meV per atom.